1.
Material: KTlBi2
Method: DFT, GGA-PBE
State: optimized geometry

For the energy of formation, the calculation gives -0.0588 eV/atom. Its total energy is -2.87 eV/atom. The density is 7.49 g/cm3.

abc: 7.3851 7.3851 7.3851
angles: 102.39 102.39 124.80
With the nearest neighbours (Å) after each atom.
Atoms (fractional coordinates):
1 K 0.0000 0.0000 0.0000  2 Tl 3.42, 4 Bi 3.71
2 K 0.7500 0.2500 0.5000  2 Tl 3.42, 4 Bi 3.71
3 Tl 0.2500 0.7500 0.5000  4 Bi 3.09, 2 K 3.42
4 Tl 0.5000 0.5000 0.0000  4 Bi 3.09, 2 K 3.42
5 Bi 0.1742 0.6250 0.0492  2 Tl 3.09
6 Bi 0.3750 0.4242 0.5492  2 Tl 3.09
7 Bi 0.5758 0.1250 0.9508  2 Tl 3.09
8 Bi 0.8750 0.8258 0.4508  2 Tl 3.09

***

2.
Material: K3Tl7Bi2
Method: DFT, GGA-PBE
State: optimized geometry

For the energy of formation, the calculation gives -0.1160 eV/atom. Its total energy is -2.42 eV/atom. The density is 7.27 g/cm3.

abc: 7.8756 5.1729 11.1139
angles: 90.00 97.35 90.00
With the nearest neighbours (Å) after each atom.
Atoms (fractional coordinates):
1 K 0.0000 0.0000 0.0000  4 Bi 3.66, 6 Tl 3.93-3.95
2 K 0.4665 0.0000 0.7023  2 Bi 3.63, 7 Tl 3.68-4.03
3 K 0.5335 0.0000 0.2977  2 Bi 3.63, 7 Tl 3.68-4.03
4 Tl 0.0576 0.0000 0.3583  5 Tl 3.31-3.39, 2 Bi 3.55
5 Tl 0.1617 0.5000 0.7738  1 Bi 3.14, 4 Tl 3.34-3.45
6 Tl 0.2736 0.5000 0.4841  1 Bi 3.24, 4 Tl 3.31-3.54
7 Tl 0.5000 0.5000 0.0000  2 Bi 3.20, 2 Tl 3.42
8 Tl 0.7264 0.5000 0.5159  1 Bi 3.24, 4 Tl 3.31-3.54
9 Tl 0.8383 0.5000 0.2262  1 Bi 3.14, 4 Tl 3.34-3.45
10 Tl 0.9424 0.0000 0.6417  5 Tl 3.31-3.39, 2 Bi 3.55
11 Bi 0.2272 0.5000 0.1904  3 Tl 3.14-3.24
12 Bi 0.7728 0.5000 0.8096  3 Tl 3.14-3.24

***

3.
Material: KTlBi2
Method: DFT, GGA-PBE
State: optimized geometry

For the energy of formation, the calculation gives -0.1659 eV/atom. Its total energy is -2.97 eV/atom. The density is 8.25 g/cm3.

abc: 4.9210 4.9210 5.5003
angles: 90.00 90.00 90.00
With the nearest neighbours (Å) after each atom.
Atoms (fractional coordinates):
1 K 0.0000 0.0000 0.0000  4 Tl 3.48, 8 Bi 3.69
2 Tl 0.5000 0.5000 0.0000  4 K 3.48, 8 Bi 3.69
3 Bi 0.0000 0.5000 0.5000  4 Bi 3.48, 4 K 3.69, 4 Tl 3.69
4 Bi 0.5000 0.0000 0.5000  4 Bi 3.48, 4 K 3.69, 4 Tl 3.69

***

4.
Material: K2TlBi2
Method: DFT, GGA-PBE
State: optimized geometry

For the energy of formation, the calculation gives -0.0944 eV/atom. Its total energy is -2.56 eV/atom. The density is 6.00 g/cm3.

abc: 10.7023 10.7023 3.3850
angles: 90.00 90.00 90.00
With the nearest neighbours (Å) after each atom.
Atoms (fractional coordinates):
1 K 0.1222 0.3778 0.0000  3 K 3.38-3.70, 6 Bi 3.49-3.66
2 K 0.3778 0.8778 0.0000  3 K 3.38-3.70, 6 Bi 3.49-3.66
3 K 0.6222 0.1222 0.0000  3 K 3.38-3.70, 6 Bi 3.49-3.66
4 K 0.8778 0.6222 0.0000  3 K 3.38-3.70, 6 Bi 3.49-3.66
5 Tl 0.0000 0.0000 0.0000  2 Tl 3.38
6 Tl 0.5000 0.5000 0.0000  2 Tl 3.38
7 Bi 0.1759 0.6759 0.5000  2 Bi 3.38, 6 K 3.49-3.66
8 Bi 0.3241 0.1759 0.5000  2 Bi 3.38, 6 K 3.49-3.66
9 Bi 0.6759 0.8241 0.5000  2 Bi 3.38, 6 K 3.49-3.66
10 Bi 0.8241 0.3241 0.5000  2 Bi 3.38, 6 K 3.49-3.66

***

5.
Material: KTlBi2
Method: DFT, GGA-PBE
State: optimized geometry

For the energy of formation, the calculation gives -0.1522 eV/atom. Its total energy is -2.96 eV/atom. The density is 8.06 g/cm3.

abc: 3.5247 5.5579 6.9576
angles: 90.00 90.00 90.00
With the nearest neighbours (Å) after each atom.
Atoms (fractional coordinates):
1 K 0.0000 0.0000 0.0000  2 Tl 3.48, 2 K 3.52, 8 Bi 3.65
2 Tl 0.0000 0.0000 0.5000  2 K 3.48, 2 Tl 3.52, 8 Bi 3.80
3 Bi 0.5000 0.5000 0.2282  3 Bi 3.18-3.52
4 Bi 0.5000 0.5000 0.7718  3 Bi 3.18-3.52

***

6.
Material: K2TlBi
Method: DFT, GGA-PBE
State: optimized geometry

For the energy of formation, the calculation gives -0.1447 eV/atom. Its total energy is -2.26 eV/atom. The density is 5.53 g/cm3.

abc: 3.6143 3.6143 11.2921
angles: 90.00 90.00 90.00
With the nearest neighbours (Å) after each atom.
Atoms (fractional coordinates):
1 K 0.0000 0.0000 0.2345  4 K 3.61, 4 Bi 3.68, 4 Tl 3.94
2 K 0.0000 0.0000 0.7655  4 K 3.61, 4 Bi 3.68, 4 Tl 3.94
3 Tl 0.5000 0.5000 0.5000  4 Tl 3.61, 8 K 3.94
4 Bi 0.5000 0.5000 0.0000  4 Bi 3.61, 8 K 3.68

***

7.
Material: KTl3Bi
Method: DFT, GGA-PBE
State: optimized geometry

For the energy of formation, the calculation gives -0.1167 eV/atom. Its total energy is -2.53 eV/atom. The density is 8.32 g/cm3.

abc: 8.0201 8.0201 8.0201
angles: 90.00 90.00 90.00
With the nearest neighbours (Å) after each atom.
Atoms (fractional coordinates):
1 K 0.0000 0.0000 0.5000  8 Tl 3.55
2 K 0.0000 0.5000 0.0000  8 Tl 3.55
3 K 0.5000 0.0000 0.0000  8 Tl 3.55
4 Tl 0.0000 0.0000 0.0000  8 Tl 3.70, 6 K 4.01
5 Tl 0.2662 0.2662 0.2662  3 Bi 3.40, 3 K 3.55, 4 Tl 3.70-3.75
6 Tl 0.2662 0.2662 0.7338  3 Bi 3.40, 3 K 3.55, 4 Tl 3.70-3.75
7 Tl 0.2662 0.7338 0.2662  3 Bi 3.40, 3 K 3.55, 4 Tl 3.70-3.75
8 Tl 0.2662 0.7338 0.7338  3 Bi 3.40, 3 K 3.55, 4 Tl 3.70-3.75
9 Tl 0.7338 0.2662 0.2662  3 Bi 3.40, 3 K 3.55, 4 Tl 3.70-3.75
10 Tl 0.7338 0.2662 0.7338  3 Bi 3.40, 3 K 3.55, 4 Tl 3.70-3.75
11 Tl 0.7338 0.7338 0.2662  3 Bi 3.40, 3 K 3.55, 4 Tl 3.70-3.75
12 Tl 0.7338 0.7338 0.7338  3 Bi 3.40, 3 K 3.55, 4 Tl 3.70-3.75
13 Bi 0.0000 0.5000 0.5000  8 Tl 3.40
14 Bi 0.5000 0.0000 0.5000  8 Tl 3.40
15 Bi 0.5000 0.5000 0.0000  8 Tl 3.40

***

8.
Material: K2Tl4Bi3
Method: DFT, GGA-PBE
State: optimized geometry

For the energy of formation, the calculation gives -0.1506 eV/atom. Its total energy is -2.74 eV/atom. The density is 7.74 g/cm3.

abc: 10.0295 10.0295 10.2647
angles: 90.00 90.00 140.74
With the nearest neighbours (Å) after each atom.
Atoms (fractional coordinates):
1 K 0.1026 0.8974 0.9083  6 Tl 3.75-3.96, 4 Bi 3.84-4.00
2 K 0.3974 0.6026 0.4083  6 Tl 3.75-3.96, 4 Bi 3.84-4.00
3 K 0.6026 0.3974 0.5917  6 Tl 3.75-3.96, 4 Bi 3.84-4.00
4 K 0.8974 0.1026 0.0917  6 Tl 3.75-3.96, 4 Bi 3.84-4.00
5 Tl 0.1790 0.8210 0.5135  5 Bi 3.36-3.38, 2 K 3.75
6 Tl 0.1854 0.3146 0.7500  3 Bi 3.25-3.30, 2 Tl 3.37
7 Tl 0.3146 0.1854 0.2500  3 Bi 3.25-3.30, 2 Tl 3.37
8 Tl 0.3210 0.6790 0.0135  5 Bi 3.36-3.38, 2 K 3.75
9 Tl 0.6790 0.3210 0.9865  5 Bi 3.36-3.38, 2 K 3.75
10 Tl 0.6854 0.8146 0.7500  3 Bi 3.25-3.30, 2 Tl 3.37
11 Tl 0.8146 0.6854 0.2500  3 Bi 3.25-3.30, 2 Tl 3.37
12 Tl 0.8210 0.1790 0.4865  5 Bi 3.36-3.38, 2 K 3.75
13 Bi 0.0000 0.0000 0.5000  6 Tl 3.30-3.38
14 Bi 0.0136 0.4864 0.7500  5 Tl 3.25-3.37, 2 Bi 3.37
15 Bi 0.4864 0.0136 0.2500  5 Tl 3.25-3.37, 2 Bi 3.37
16 Bi 0.5000 0.5000 0.0000  6 Tl 3.30-3.38
17 Bi 0.5136 0.9864 0.7500  5 Tl 3.25-3.37, 2 Bi 3.37
18 Bi 0.9864 0.5136 0.2500  5 Tl 3.25-3.37, 2 Bi 3.37

***

9.
Material: K2Tl2Bi3
Method: DFT, GGA-PBE
State: optimized geometry

For the energy of formation, the calculation gives -0.2081 eV/atom. Its total energy is -2.86 eV/atom. The density is 7.04 g/cm3.

abc: 7.0166 7.0166 8.2699
angles: 109.42 109.42 43.69
With the nearest neighbours (Å) after each atom.
Atoms (fractional coordinates):
1 K 0.1393 0.1393 0.2743  4 Tl 3.74-3.83, 6 Bi 3.75-4.00
2 K 0.8607 0.8607 0.7257  4 Tl 3.74-3.83, 6 Bi 3.75-4.00
3 Tl 0.1567 0.1567 0.7350  5 Bi 3.32-3.45
4 Tl 0.8433 0.8433 0.2650  5 Bi 3.32-3.45
5 Bi 0.4060 0.4060 0.0698  2 Bi 3.06-3.32, 2 Tl 3.32
6 Bi 0.5000 0.5000 0.5000  2 Bi 3.32, 4 Tl 3.45
7 Bi 0.5940 0.5940 0.9302  2 Bi 3.06-3.32, 2 Tl 3.32

***

10.
Material: K2Tl5Bi4
Method: DFT, GGA-PBE
State: optimized geometry

For the energy of formation, the calculation gives -0.0771 eV/atom. Its total energy is -2.76 eV/atom. The density is 7.40 g/cm3.

abc: 11.8928 10.7096 7.1067
angles: 81.02 62.81 36.17
With the nearest neighbours (Å) after each atom.
Atoms (fractional coordinates):
1 K 0.1628 0.1628 0.8372  4 Bi 3.81, 4 Tl 3.97
2 K 0.8372 0.8372 0.1628  4 Bi 3.81, 4 Tl 3.97
3 Tl 0.0000 0.0000 0.5000  4 Tl 3.45-3.55, 4 Bi 3.67
4 Tl 0.2500 0.2500 0.2500  4 Bi 3.20, 2 Tl 3.45
5 Tl 0.5000 0.5000 0.0000  4 Tl 3.45-3.55, 4 Bi 3.67
6 Tl 0.5000 0.5000 0.5000  4 Bi 3.26, 4 Tl 3.55
7 Tl 0.7500 0.7500 0.7500  4 Bi 3.20, 2 Tl 3.45
8 Bi 0.2328 0.4858 0.5142  1 Bi 3.14, 3 Tl 3.20-3.26
9 Bi 0.4858 0.2328 0.7672  1 Bi 3.14, 3 Tl 3.20-3.26
10 Bi 0.5142 0.7672 0.2328  1 Bi 3.14, 3 Tl 3.20-3.26
11 Bi 0.7672 0.5142 0.4858  1 Bi 3.14, 3 Tl 3.20-3.26

***

11.
Material: KTl5Bi
Method: DFT, GGA-PBE
State: optimized geometry

For the energy of formation, the calculation gives -0.0639 eV/atom. Its total energy is -2.47 eV/atom. The density is 8.20 g/cm3.

abc: 4.9642 4.9642 10.4367
angles: 90.00 90.00 90.00
With the nearest neighbours (Å) after each atom.
Atoms (fractional coordinates):
1 K 0.0000 0.0000 0.0000  8 Tl 3.74
2 Tl 0.0000 0.0000 0.5000  8 Tl 3.47, 4 Bi 3.51
3 Tl 0.0000 0.5000 0.2682  6 Tl 3.47-3.51, 2 Bi 3.47, 2 K 3.74
4 Tl 0.0000 0.5000 0.7318  6 Tl 3.47-3.51, 2 Bi 3.47, 2 K 3.74
5 Tl 0.5000 0.0000 0.2682  6 Tl 3.47-3.51, 2 Bi 3.47, 2 K 3.74
6 Tl 0.5000 0.0000 0.7318  6 Tl 3.47-3.51, 2 Bi 3.47, 2 K 3.74
7 Bi 0.5000 0.5000 0.5000  12 Tl 3.47-3.51

***

12.
Material: KTlBi2
Method: DFT, GGA-PBE
State: optimized geometry

For the energy of formation, the calculation gives 0.0347 eV/atom. Its total energy is -2.77 eV/atom. The density is 8.15 g/cm3.

abc: 5.7547 5.7547 5.7547
angles: 60.00 60.00 60.00
With the nearest neighbours (Å) after each atom.
Atoms (fractional coordinates):
1 K 0.0000 0.0000 0.0000  8 Bi 3.52
2 Tl 0.5000 0.5000 0.5000  8 Bi 3.52
3 Bi 0.2500 0.2500 0.2500  4 Tl 3.52, 4 K 3.52
4 Bi 0.7500 0.7500 0.7500  4 Tl 3.52, 4 K 3.52

***

The highest energy of formation belongs to which entry?
number 12